{
  "formula": "KHg2As2",
  "functional": "PBEsol",
  "state": "optimized geometry",
  "energy_ev_per_cell": -13.1,
  "volume_a3_per_cell": 128.00,
  "sg": "No. 139",
  "ef_ev_per_atom": -0.124,
  "rho_g_cm3": 7.656,
  "lattice": [[5.1362, 0.0000, 0.0000], [0.0000, 5.1362, 0.0000], [-2.5681, -2.5681, 4.8519]],
  "species": ["As", "As", "Hg", "Hg", "K"],
  "frac_coords": [[0.3728, 0.3728, 0.7455], [0.6272, 0.6272, 0.2545], [0.2500, 0.7500, 0.5000], [0.7500, 0.2500, 0.5000], [0.0000, 0.0000, 0.0000]]
}